A geometry-optimized LiYO2 structure, computed with PBE-GGA.

Summary:
- volume (Å³ per cell) = 54.6
- DOS at the Fermi energy (states/eV/f.u.) = 0.0
- energy relative to the elements, uncorrected (meV per atom) = -2722

a b c (Å): 3.3634 3.3634 5.8971
angles (deg): 73.43 73.43 60.00
Fractional coordinates of all 4 atoms:
O  0.2682  0.2682  0.1953
O  0.0806  0.0806  0.7582
Y  0.6683  0.6683  0.9952
Li  0.4829  0.4829  0.5513